# MnNbFe PBE optimized geometry
data_MnNbFe
_chemical_formula_sum 'Mn2 Nb2 Fe2'
_space_group_name_H-M_alt 'P 1'
_space_group_IT_number 1
_cell_length_a 4.8245
_cell_length_b 4.8245
_cell_length_c 4.8245
_cell_angle_alpha 89.25
_cell_angle_beta 119.89
_cell_angle_gamma 120.98
loop_
_space_group_symop_operation_xyz
'x,y,z'
loop_
_atom_site_label
_atom_site_fract_x
_atom_site_fract_y
_atom_site_fract_z
Nb1 0.7500 0.8765 0.1265
Mn1 0.0000 0.5000 0.5000
Mn2 0.5000 0.0000 0.5000
Nb2 0.2500 0.1235 0.8735
Fe1 0.0000 0.5000 0.0000
Fe2 0.5000 0.5000 0.5000
# Fermi-level density of states: 8.58 states/eV/cell
# total magnetic moment: 0.462 μB/atom
# formation enthalpy at 0 K: -137.6 meV per atom
# space-group type: Imma


# Er2TmAl PBE optimized geometry
data_Er2TmAl
_chemical_formula_sum 'Er2 Tm1 Al1'
_space_group_name_H-M_alt 'P 1'
_space_group_IT_number 1
_cell_length_a 3.4730
_cell_length_b 3.4730
_cell_length_c 8.9287
_cell_angle_alpha 90.00
_cell_angle_beta 90.00
_cell_angle_gamma 90.00
loop_
_space_group_symop_operation_xyz
'x,y,z'
loop_
_atom_site_label
_atom_site_fract_x
_atom_site_fract_y
_atom_site_fract_z
Tm1 0.5000 0.5000 0.5000
Al1 0.5000 0.5000 0.0000
Er1 0.0000 0.0000 0.7842
Er2 0.0000 0.0000 0.2158
# Fermi-level density of states: 4.19 states/eV/cell
# total magnetic moment: 0.000 μB/atom
# formation enthalpy at 0 K: -189.8 meV per atom
# space-group type: P4/mmm


# ZrInRe PBE optimized geometry
data_ZrInRe
_chemical_formula_sum 'Zr4 In4 Re4'
_space_group_name_H-M_alt 'P 1'
_space_group_IT_number 1
_cell_length_a 3.0982
_cell_length_b 3.0982
_cell_length_c 26.1282
_cell_angle_alpha 90.00
_cell_angle_beta 90.00
_cell_angle_gamma 90.00
loop_
_space_group_symop_operation_xyz
'x,y,z'
loop_
_atom_site_label
_atom_site_fract_x
_atom_site_fract_y
_atom_site_fract_z
Zr1 0.5000 0.5000 0.6455
Zr2 0.0000 0.0000 0.1455
Zr3 0.5000 0.5000 0.3545
Re1 0.0000 0.0000 0.2773
Re2 0.0000 0.0000 0.7227
Re3 0.5000 0.5000 0.7773
In1 0.0000 0.0000 0.5552
In2 0.5000 0.5000 0.9448
In3 0.0000 0.0000 0.4448
Re4 0.5000 0.5000 0.2227
In4 0.5000 0.5000 0.0552
Zr4 0.0000 0.0000 0.8545
# Fermi-level density of states: 11.01 states/eV/cell
# total magnetic moment: 0.000 μB/atom
# formation enthalpy at 0 K: -144.0 meV per atom
# space-group type: I4/mmm


# NdPu2US4 PBE optimized geometry
data_NdPu2US4
_chemical_formula_sum 'Nd1 Pu2 U1 S4'
_space_group_name_H-M_alt 'P 1'
_space_group_IT_number 1
_cell_length_a 3.9334
_cell_length_b 6.9006
_cell_length_c 6.8592
_cell_angle_alpha 109.18
_cell_angle_beta 90.00
_cell_angle_gamma 90.00
loop_
_space_group_symop_operation_xyz
'x,y,z'
loop_
_atom_site_label
_atom_site_fract_x
_atom_site_fract_y
_atom_site_fract_z
S1 0.5000 0.2586 0.2550
Nd1 0.0000 0.0000 0.0000
Pu1 0.5000 0.0000 0.5000
S2 0.0000 0.7456 0.2508
S3 0.0000 0.2544 0.7492
S4 0.5000 0.7414 0.7450
Pu2 0.0000 0.5000 0.5000
U1 0.5000 0.5000 0.0000
# uncorrected formation energy: -1702 meV/atom
# Fermi-level density of states: 20.21 states/eV/cell
# total magnetic moment: 0.316 μB/atom
# space-group type: P2/m


# BeB2Au PBE optimized geometry
data_BeB2Au
_chemical_formula_sum 'Be2 B4 Au2'
_space_group_name_H-M_alt 'P 1'
_space_group_IT_number 1
_cell_length_a 5.1797
_cell_length_b 5.1797
_cell_length_c 5.3153
_cell_angle_alpha 60.84
_cell_angle_beta 60.84
_cell_angle_gamma 90.00
loop_
_space_group_symop_operation_xyz
'x,y,z'
loop_
_atom_site_label
_atom_site_fract_x
_atom_site_fract_y
_atom_site_fract_z
B1 0.8750 0.8494 0.7500
Be1 0.5000 0.5000 0.0000
B2 0.5994 0.1250 0.2500
Be2 0.2500 0.7500 0.5000
Au1 0.7500 0.2500 0.5000
B3 0.1506 0.6250 0.2500
Au2 0.0000 0.0000 0.0000
B4 0.3750 0.4006 0.7500
# Fermi-level density of states: 2.91 states/eV/cell
# total magnetic moment: 0.000 μB/atom
# formation enthalpy at 0 K: 1157.5 meV per atom
# space-group type: I-42d


# CaCo2Ag PBE optimized geometry
data_CaCo2Ag
_chemical_formula_sum 'Ca2 Co4 Ag2'
_space_group_name_H-M_alt 'P 1'
_space_group_IT_number 1
_cell_length_a 4.3752
_cell_length_b 4.3752
_cell_length_c 9.6999
_cell_angle_alpha 76.97
_cell_angle_beta 76.97
_cell_angle_gamma 90.00
loop_
_space_group_symop_operation_xyz
'x,y,z'
loop_
_atom_site_label
_atom_site_fract_x
_atom_site_fract_y
_atom_site_fract_z
Co1 0.8750 0.6250 0.2500
Ag1 0.0000 0.0000 0.0000
Co2 0.8750 0.1250 0.2500
Co3 0.8750 0.1250 0.7500
Ag2 0.7500 0.2500 0.5000
Co4 0.3750 0.1250 0.7500
Ca1 0.5000 0.5000 0.0000
Ca2 0.2500 0.7500 0.5000
# Fermi-level density of states: 13.32 states/eV/cell
# total magnetic moment: 0.756 μB/atom
# formation enthalpy at 0 K: 536.1 meV per atom
# space-group type: I4_1/amd


# NaBiSe2 PBE optimized geometry
data_NaBiSe2
_chemical_formula_sum 'Na1 Bi1 Se2'
_space_group_name_H-M_alt 'P 1'
_space_group_IT_number 1
_cell_length_a 7.5232
_cell_length_b 7.5232
_cell_length_c 7.5232
_cell_angle_alpha 32.69
_cell_angle_beta 32.69
_cell_angle_gamma 32.69
loop_
_space_group_symop_operation_xyz
'x,y,z'
loop_
_atom_site_label
_atom_site_fract_x
_atom_site_fract_y
_atom_site_fract_z
Se1 0.2537 0.2537 0.2537
Na1 0.5000 0.5000 0.5000
Bi1 0.0000 0.0000 0.0000
Se2 0.7463 0.7463 0.7463
# uncorrected formation energy: -740 meV/atom
# total magnetic moment: 0.000 μB/atom
# space-group type: R-3m


# Ce2PmY PBE optimized geometry
data_Ce2PmY
_chemical_formula_sum 'Ce2 Pm1 Y1'
_space_group_name_H-M_alt 'P 1'
_space_group_IT_number 1
_cell_length_a 5.6945
_cell_length_b 5.6945
_cell_length_c 5.6945
_cell_angle_alpha 60.00
_cell_angle_beta 60.00
_cell_angle_gamma 60.00
loop_
_space_group_symop_operation_xyz
'x,y,z'
loop_
_atom_site_label
_atom_site_fract_x
_atom_site_fract_y
_atom_site_fract_z
Pm1 0.0000 0.0000 0.0000
Ce1 0.2500 0.2500 0.2500
Ce2 0.7500 0.7500 0.7500
Y1 0.5000 0.5000 0.5000
# Fermi-level density of states: 17.64 states/eV/cell
# total magnetic moment: 0.616 μB/atom
# formation enthalpy at 0 K: 261.5 meV per atom
# space-group type: Fm-3m


# DyHo3Au2 PBE optimized geometry
data_DyHo3Au2
_chemical_formula_sum 'Dy2 Ho6 Au4'
_space_group_name_H-M_alt 'P 1'
_space_group_IT_number 1
_cell_length_a 4.9506
_cell_length_b 7.0865
_cell_length_c 8.9171
_cell_angle_alpha 90.00
_cell_angle_beta 90.00
_cell_angle_gamma 90.00
loop_
_space_group_symop_operation_xyz
'x,y,z'
loop_
_atom_site_label
_atom_site_fract_x
_atom_site_fract_y
_atom_site_fract_z
Ho1 0.0000 0.3507 0.3307
Au1 0.5000 0.7423 0.8488
Ho2 0.0000 0.8507 0.6693
Ho3 0.0000 0.4870 0.9269
Ho4 0.5000 0.6493 0.1689
Ho5 0.0000 0.9870 0.0731
Au2 0.5000 0.2423 0.1512
Au3 0.0000 0.7579 0.3477
Ho6 0.5000 0.1493 0.8311
Dy1 0.5000 0.5129 0.5735
Dy2 0.5000 0.0129 0.4265
Au4 0.0000 0.2579 0.6523
# Fermi-level density of states: 11.78 states/eV/cell
# total magnetic moment: 0.000 μB/atom
# formation enthalpy at 0 K: -644.2 meV per atom
# space-group type: Pmc2_1


# La2Ga2Cl PBE optimized geometry
data_La2Ga2Cl
_chemical_formula_sum 'La4 Ga4 Cl2'
_space_group_name_H-M_alt 'P 1'
_space_group_IT_number 1
_cell_length_a 8.1037
_cell_length_b 8.1037
_cell_length_c 4.4155
_cell_angle_alpha 90.00
_cell_angle_beta 90.00
_cell_angle_gamma 90.00
loop_
_space_group_symop_operation_xyz
'x,y,z'
loop_
_atom_site_label
_atom_site_fract_x
_atom_site_fract_y
_atom_site_fract_z
Cl1 0.5000 0.5000 0.0000
Ga1 0.6086 0.8914 0.5000
La1 0.6850 0.1850 0.0000
La2 0.3150 0.8150 0.0000
Cl2 0.0000 0.0000 0.0000
Ga2 0.8914 0.3914 0.5000
La3 0.1850 0.3150 0.0000
La4 0.8150 0.6850 0.0000
Ga3 0.3914 0.1086 0.5000
Ga4 0.1086 0.6086 0.5000
# uncorrected formation energy: -882 meV/atom
# Fermi-level density of states: 8.79 states/eV/cell
# total magnetic moment: 0.000 μB/atom
# space-group type: P4/mbm